*A*
8
Lattice="2.750 0.000 0.000 0.000 4.356 0.000 0.000 0.000 8.632" Properties=species:S:1:pos:R:3 comment="GGA-PBEsol Cu2TcRu, optimized geometry" n_ef_per_ev_atom=1.068 pbc="T T T"
Cu 0.000 0.000 0.000
Cu 0.000 2.178 2.020
Cu 1.375 0.000 2.020
Cu 1.375 2.178 0.000
Tc 0.000 0.000 4.251
Tc 1.375 2.178 4.251
Ru 0.000 2.178 6.419
Ru 1.375 0.000 6.419

=====

*B*
8
Lattice="8.594 0.000 0.000 0.000 2.629 0.000 -0.748 0.000 4.476" Properties=species:S:1:pos:R:3 comment="GGA-PBEsol Cu2TcRu, optimized geometry" n_ef_per_ev_atom=0.860 pbc="T T T"
Cu 0.000 0.000 0.000
Cu 1.962 1.315 0.908
Cu 4.297 1.315 0.000
Cu 6.259 0.000 0.908
Tc 3.912 0.000 2.227
Tc 8.209 1.315 2.227
Ru 1.624 0.000 3.155
Ru 5.921 1.315 3.155

=====

*C*
4
Lattice="4.489 0.000 0.000 0.000 2.619 0.000 -1.482 0.000 4.321" Properties=species:S:1:pos:R:3 comment="GGA-PBEsol Cu2TcRu, optimized geometry" n_ef_per_ev_atom=1.024 pbc="T T T"
Cu 0.000 0.000 0.000
Cu 2.244 1.310 0.000
Tc -0.741 1.310 2.161
Ru 1.503 0.000 2.161

=====

Most stable structure among those shown: *B*.